The following is a PBE calculation of a geometry-optimized NaTlCd structure, from the Alexandria database.

a = 4.0000 Å, b = 4.0000 Å, c = 9.9378 Å
α = 90.00°, β = 90.00°, γ = 90.00°
Space group I4mm (No. 107)
One atom of each set of equivalent atoms:
Na 0.0000 0.0000 0.0000
Tl 0.0000 0.0000 0.6721
Cd 0.0000 0.0000 0.3329

Computed properties:
**Offset from the most stable computed form**: 25.5 meV/atom
**ΔE_f**: -0.22 eV per formula unit



The following is a PBE calculation of a geometry-optimized ScTaIr2 structure, from the Alexandria database.

a = 8.5553 Å, b = 2.9585 Å, c = 5.4777 Å
α = 90.00°, β = 98.68°, γ = 90.00°
Space group C2/m (No. 12)
One atom of each set of equivalent atoms:
Sc 0.0000 0.0000 0.0000
Ta 0.0000 0.5000 0.5000
Ir 0.2487 0.0000 0.7399

Computed properties:
**ΔE_f**: -1.31 eV per formula unit



The following is a PBE calculation of a geometry-optimized Hf3N2O3 structure, from the Alexandria database.

a = 10.5043 Å, b = 4.0502 Å, c = 10.5736 Å
α = 90.00°, β = 90.38°, γ = 90.00°
Space group Cm (No. 8)
One atom of each set of equivalent atoms:
Hf 0.0000 0.0000 0.0000
Hf 0.0025 0.0000 0.3788
Hf 0.2864 0.0000 0.5067
Hf 0.2892 0.0000 0.8782
Hf 0.3338 0.0000 0.1893
Hf 0.4497 0.5000 0.6975
N 0.3434 0.5000 0.8669
N 0.3798 0.0000 0.6856
N 0.4401 0.0000 0.3683
N 0.4455 0.0000 0.0228
O 0.0943 0.0000 0.5536
O 0.0981 0.0000 0.8254
O 0.1833 0.0000 0.3221
O 0.1876 0.0000 0.0574
O 0.3335 0.5000 0.5126
O 0.3948 0.5000 0.1939

Computed properties:
**Offset from the most stable computed form**: 0.0 meV/atom
**Raw formation energy**: -2.76 eV per atom



The following is a PBE calculation of a geometry-optimized PuP2Pd2 structure, from the Alexandria database.

a = 8.3566 Å, b = 9.7805 Å, c = 5.6761 Å
α = 90.00°, β = 125.13°, γ = 90.00°
Space group C2/c (No. 15)
One atom of each set of equivalent atoms:
Pu 0.0000 0.1334 0.2500
P 0.0000 0.1633 0.7500
P 0.0000 0.4222 0.2500
Pd 0.1678 0.3732 0.0265

Computed properties:
**ΔE_f**: -2.90 eV per formula unit



The following is a PBE calculation of a geometry-optimized KIrSeBr2 structure, from the Alexandria database.

a = 5.7817 Å, b = 5.7817 Å, c = 6.0456 Å
α = 90.00°, β = 90.00°, γ = 90.00°
Space group P4/mmm (No. 123)
One atom of each set of equivalent atoms:
K 0.0000 0.0000 0.0000
Ir 0.5000 0.5000 0.5000
Se 0.0000 0.0000 0.5000
Br 0.0000 0.5000 0.0000

Computed properties:
**Offset from the most stable computed form**: 1795.7 meV/atom
**Raw formation energy**: 1.35 eV per atom



The following is a PBE calculation of a geometry-optimized Th4ReHg structure, from the Alexandria database.

a = 7.4311 Å, b = 7.4311 Å, c = 6.1737 Å
α = 90.00°, β = 90.00°, γ = 90.00°
Space group P4/mcc (No. 124)
One atom of each set of equivalent atoms:
Th 0.1427 0.3184 0.0000
Re 0.0000 0.0000 0.2500
Hg 0.5000 0.5000 0.2500

Computed properties:
**ΔE_f**: -0.78 eV per formula unit



Number 1: final energy -1.6070 eV per atom. Number 2: final energy -9.3032 eV per atom. Number 3: final energy -10.4371 eV per atom. Number 4: final energy -7.6883 eV per atom. Number 5: final energy -2.0073 eV per atom. Number 6: final energy -7.2008 eV per atom.